The following is a DFT calculation (PBE) of AgTeP2O8 after structural relaxation.

```
AgTeP2O8
1.0
-4.297 2.240 -0.472
1.298 -3.468 -3.162
-3.455 -5.625 4.752
O Te Ag P
8 1 1 2
Cartesian
-4.078 -0.526 1.162
-4.156 -4.645 0.653
-2.298 -2.208 0.465
-3.726 -6.708 2.079
-2.377 -6.327 -0.044
-4.456 -2.011 -0.871
-1.998 -4.842 1.989
-2.729 -0.145 -0.961
-1.727 -2.813 2.376
0.000 0.000 0.000
-3.086 -5.667 1.200
-3.368 -1.186 -0.082
```

Properties
Total energy ... -6.1418 eV/atom
Magnetic moment ... 0.7 μB per cell
Symmetry ... P-3
DOS at the Fermi energy ... 4.9 states/eV per cell
Uncorrected formation energy ... -1435 meV per atom
Calculated volume ... 13.92 A^3/atom